1) Dy2Tm3Cd: optimized geometry, PBE.

Properties
Total magnetization = 0.0 μB/cell
Symmetry = Imm2
V = 368.7 Å³/cell
Density = 8.5 g/cm³

Lattice parameters (Å, degrees): 3.4135 16.7715 6.4397 90.00 90.00 90.00
Closest atoms and distances in Å follow each position.
Atoms (fractional coordinates):
Dy  0.0000  0.1924  0.0000  4 Tm 3.34-3.41, 2 Dy 3.41, 1 Cd 3.48
Dy  0.0000  0.8076  0.0000  4 Tm 3.34-3.41, 2 Dy 3.41, 1 Cd 3.48
Dy  0.5000  0.3076  0.5000  4 Tm 3.34-3.41, 2 Dy 3.41, 1 Cd 3.48
Dy  0.5000  0.6924  0.5000  4 Tm 3.34-3.41, 2 Dy 3.41, 1 Cd 3.48
Tm  0.0000  0.1319  0.4945  1 Cd 2.96
Tm  0.0000  0.5000  0.6893  2 Cd 3.04
Tm  0.0000  0.8681  0.4945  1 Cd 2.96
Tm  0.5000  0.0000  0.1893  2 Cd 3.04
Tm  0.5000  0.3681  0.9945  1 Cd 2.96
Tm  0.5000  0.6319  0.9945  1 Cd 2.96
Cd  0.0000  0.0000  0.7991  4 Tm 2.96-3.04
Cd  0.5000  0.5000  0.2991  4 Tm 2.96-3.04

***

2) Dy2Tm3Cd: optimized geometry, PBE.

Properties
Total magnetization = 0.0 μB/cell
Symmetry = P4/mmm
V = 174.1 Å³/cell
Density = 9.0 g/cm³

Lattice parameters (Å, degrees): 3.5185 3.5185 14.0627 90.00 90.00 90.00
Closest atoms and distances in Å follow each position.
Atoms (fractional coordinates):
Dy  0.0000  0.0000  0.1766  8 Tm 3.51, 4 Dy 3.52
Dy  0.0000  0.0000  0.8234  8 Tm 3.51, 4 Dy 3.52
Tm  0.5000  0.5000  0.0000  8 Dy 3.51, 4 Tm 3.52
Tm  0.5000  0.5000  0.3530  4 Cd 3.23, 4 Dy 3.51, 4 Tm 3.52
Tm  0.5000  0.5000  0.6470  4 Cd 3.23, 4 Dy 3.51, 4 Tm 3.52
Cd  0.0000  0.0000  0.5000  8 Tm 3.23, 4 Cd 3.52

***

Bottom line: 2), by a margin of 248 meV per atom.

***

1) Dy4TmCd: optimized geometry, PBE.

Properties
Total magnetization = 0.0 μB/cell
Symmetry = P4/mmm
V = 177.2 Å³/cell
Density = 8.7 g/cm³

Lattice parameters (Å, degrees): 3.5441 3.5441 14.1087 90.00 90.00 90.00
Closest atoms and distances in Å follow each position.
Atoms (fractional coordinates):
Dy  0.0000  0.0000  0.1483  4 Cd 3.26, 8 Dy 3.53-3.54
Dy  0.0000  0.0000  0.8517  4 Cd 3.26, 8 Dy 3.53-3.54
Dy  0.5000  0.5000  0.3247  4 Tm 3.52, 8 Dy 3.53-3.54
Dy  0.5000  0.5000  0.6753  4 Tm 3.52, 8 Dy 3.53-3.54
Tm  0.0000  0.0000  0.5000  8 Dy 3.52, 4 Tm 3.54
Cd  0.5000  0.5000  0.0000  8 Dy 3.26, 4 Cd 3.54

***

2) Dy4TmCd: optimized geometry, PBE.

Properties
Total magnetization = 0.0 μB/cell
Symmetry = C2/c
V = 361.6 Å³/cell
Density = 8.6 g/cm³

Lattice parameters (Å, degrees): 8.2691 8.2691 6.2795 99.89 99.89 116.93
Closest atoms and distances in Å follow each position.
Atoms (fractional coordinates):
Dy  0.0932  0.7110  0.9576  2 Cd 3.21-3.23, 5 Dy 3.28-3.55, 2 Tm 3.56-3.59
Dy  0.1625  0.4080  0.6217  5 Dy 3.28-3.65, 2 Cd 3.28-3.32, 2 Tm 3.46-3.47
Dy  0.2890  0.9068  0.5424  2 Cd 3.21-3.23, 5 Dy 3.28-3.55, 2 Tm 3.56-3.59
Dy  0.4080  0.1625  0.1217  5 Dy 3.28-3.65, 2 Cd 3.28-3.32, 2 Tm 3.46-3.47
Dy  0.5920  0.8375  0.8783  5 Dy 3.28-3.65, 2 Cd 3.28-3.32, 2 Tm 3.46-3.47
Dy  0.7110  0.0932  0.4576  2 Cd 3.21-3.23, 5 Dy 3.28-3.55, 2 Tm 3.56-3.59
Dy  0.8375  0.5920  0.3783  5 Dy 3.28-3.65, 2 Cd 3.28-3.32, 2 Tm 3.46-3.47
Dy  0.9068  0.2890  0.0424  2 Cd 3.21-3.23, 5 Dy 3.28-3.55, 2 Tm 3.56-3.59
Tm  0.4107  0.5893  0.2500  10 Dy 3.46-3.80
Tm  0.5893  0.4107  0.7500  10 Dy 3.46-3.80
Cd  0.0005  0.9995  0.2500  2 Cd 3.14, 8 Dy 3.21-3.32
Cd  0.9995  0.0005  0.7500  2 Cd 3.14, 8 Dy 3.21-3.32

***

Bottom line: 1), by a margin of 101 meV per atom.

***

1) Dy3TmCd2: optimized geometry, PBE.

Properties
Total magnetization = 0.0 μB/cell
Symmetry = P4/mmm
V = 167.7 Å³/cell
Density = 8.7 g/cm³

Lattice parameters (Å, degrees): 3.6086 3.6086 12.8744 90.00 90.00 90.00
Closest atoms and distances in Å follow each position.
Atoms (fractional coordinates):
Dy  0.0000  0.0000  0.0000  8 Cd 3.23, 4 Dy 3.61
Dy  0.0000  0.0000  0.3114  4 Cd 3.26, 4 Tm 3.52, 4 Dy 3.61
Dy  0.0000  0.0000  0.6886  4 Cd 3.26, 4 Tm 3.52, 4 Dy 3.61
Tm  0.5000  0.5000  0.5000  8 Dy 3.52, 4 Tm 3.61
Cd  0.5000  0.5000  0.1541  8 Dy 3.23-3.26, 4 Cd 3.61
Cd  0.5000  0.5000  0.8459  8 Dy 3.23-3.26, 4 Cd 3.61

***

2) Dy3TmCd2: optimized geometry, PBE.

Properties
Total magnetization = 0.0 μB/cell
Symmetry = Pmc2_1
V = 334.3 Å³/cell
Density = 8.8 g/cm³

Lattice parameters (Å, degrees): 5.2143 9.3782 6.8364 90.00 90.00 90.00
Closest atoms and distances in Å follow each position.
Atoms (fractional coordinates):
Dy  0.0000  0.0430  0.0000  3 Cd 3.21-3.25, 5 Dy 3.50-3.55
Dy  0.0000  0.3247  0.3348  4 Cd 3.06-3.15
Dy  0.0000  0.6753  0.8348  4 Cd 3.06-3.15
Dy  0.0000  0.9570  0.5000  3 Cd 3.21-3.25, 5 Dy 3.50-3.55
Dy  0.5000  0.1788  0.7003  4 Cd 3.11-3.14, 1 Tm 3.48
Dy  0.5000  0.8212  0.2003  4 Cd 3.11-3.14, 1 Tm 3.48
Tm  0.5000  0.4573  0.0361  3 Cd 3.20-3.25, 3 Dy 3.48-3.54, 2 Tm 3.51
Tm  0.5000  0.5427  0.5361  3 Cd 3.20-3.25, 3 Dy 3.48-3.54, 2 Tm 3.51
Cd  0.0000  0.3500  0.7940  5 Dy 3.06-3.21, 2 Tm 3.25
Cd  0.0000  0.6500  0.2940  5 Dy 3.06-3.21, 2 Tm 3.25
Cd  0.5000  0.1511  0.2421  6 Dy 3.11-3.25, 1 Tm 3.20
Cd  0.5000  0.8489  0.7421  6 Dy 3.11-3.25, 1 Tm 3.20

***

Bottom line: 2), by a margin of 23 meV per atom.

***

1) DyTm3Cd: optimized geometry, PBE.

Properties
Total magnetization = 0.0 μB/cell
Symmetry = Cmcm
V = 303.2 Å³/cell
Density = 8.6 g/cm³

Lattice parameters (Å, degrees): 10.4118 10.4118 8.0219 90.00 90.00 159.60
Closest atoms and distances in Å follow each position.
Atoms (fractional coordinates):
Dy  0.0199  0.9801  0.7500  9 Tm 3.37-3.48, 2 Dy 3.69
Dy  0.9801  0.0199  0.2500  9 Tm 3.37-3.48, 2 Dy 3.69
Tm  0.1882  0.8118  0.7500  2 Cd 3.09, 1 Dy 3.45
Tm  0.4021  0.5979  0.5394  2 Cd 3.14, 4 Dy 3.37-3.48, 3 Tm 3.38-3.50
Tm  0.4021  0.5979  0.9606  2 Cd 3.14, 4 Dy 3.37-3.48, 3 Tm 3.38-3.50
Tm  0.5979  0.4021  0.0394  2 Cd 3.14, 4 Dy 3.37-3.48, 3 Tm 3.38-3.50
Tm  0.5979  0.4021  0.4606  2 Cd 3.14, 4 Dy 3.37-3.48, 3 Tm 3.38-3.50
Tm  0.8118  0.1882  0.2500  2 Cd 3.09, 1 Dy 3.45
Cd  0.1907  0.8093  0.2500  6 Tm 3.09-3.14
Cd  0.8093  0.1907  0.7500  6 Tm 3.09-3.14

***

2) DyTm3Cd: optimized geometry, PBE.

Properties
Total magnetization = 0.8 μB/cell
Symmetry = C2/m
V = 286.8 Å³/cell
Density = 9.1 g/cm³

Lattice parameters (Å, degrees): 6.6512 6.6512 12.5222 93.98 93.98 31.28
Closest atoms and distances in Å follow each position.
Atoms (fractional coordinates):
Dy  0.2339  0.2339  0.2562  2 Cd 3.22, 6 Tm 3.50-3.60, 2 Dy 3.59
Dy  0.7661  0.7661  0.7438  2 Cd 3.22, 6 Tm 3.50-3.60, 2 Dy 3.59
Tm  0.0335  0.0335  0.6882  2 Cd 3.23, 7 Tm 3.41-3.59, 3 Dy 3.50-3.54
Tm  0.1459  0.1459  0.9449  4 Cd 3.16-3.25, 3 Tm 3.42-3.43, 2 Dy 3.53
Tm  0.3652  0.3652  0.5198  9 Tm 3.41-3.59, 3 Dy 3.60-3.63
Tm  0.6348  0.6348  0.4802  9 Tm 3.41-3.59, 3 Dy 3.60-3.63
Tm  0.8541  0.8541  0.0551  4 Cd 3.16-3.25, 3 Tm 3.42-3.43, 2 Dy 3.53
Tm  0.9665  0.9665  0.3118  2 Cd 3.23, 7 Tm 3.41-3.59, 3 Dy 3.50-3.54
Cd  0.4414  0.4414  0.8738  6 Tm 3.16-3.25, 2 Dy 3.22, 1 Cd 3.40
Cd  0.5586  0.5586  0.1262  6 Tm 3.16-3.25, 2 Dy 3.22, 1 Cd 3.40

***

Bottom line: 2), by a margin of 168 meV per atom.

***

1) Dy5Tm4Cd: optimized geometry, PBE.

Properties
Total magnetization = 0.0 μB/cell
Symmetry = I4
V = 314.8 Å³/cell
Density = 8.4 g/cm³

Lattice parameters (Å, degrees): 7.7940 7.7940 7.7940 98.90 98.90 133.68
Closest atoms and distances in Å follow each position.
Atoms (fractional coordinates):
Dy  0.0000  0.0000  0.0000  1 Cd 2.83
Dy  0.4506  0.5320  0.6289  1 Cd 3.02, 2 Tm 3.21-3.25, 1 Dy 3.37
Dy  0.5320  0.9031  0.0814  1 Cd 3.02, 2 Tm 3.21-3.25, 1 Dy 3.37
Dy  0.8217  0.4506  0.9186  1 Cd 3.02, 2 Tm 3.21-3.25, 1 Dy 3.37
Dy  0.9031  0.8217  0.3711  1 Cd 3.02, 2 Tm 3.21-3.25, 1 Dy 3.37
Tm  0.1382  0.5275  0.3030  4 Dy 3.21-3.48, 1 Tm 3.24
Tm  0.2244  0.8352  0.6970  4 Dy 3.21-3.48, 1 Tm 3.24
Tm  0.5275  0.2244  0.3893  4 Dy 3.21-3.48, 1 Tm 3.24
Tm  0.8352  0.1382  0.6107  4 Dy 3.21-3.48, 1 Tm 3.24
Cd  0.4620  0.4620  0.0000  5 Dy 2.83-3.02

***

2) Dy5Tm4Cd: optimized geometry, PBE.

Properties
Total magnetization = 0.0 μB/cell
Symmetry = P4/mmm
V = 298.5 Å³/cell
Density = 8.9 g/cm³

Lattice parameters (Å, degrees): 3.5257 3.5257 24.0100 90.00 90.00 90.00
Closest atoms and distances in Å follow each position.
Atoms (fractional coordinates):
Dy  0.0000  0.0000  0.0000  8 Tm 3.51, 4 Dy 3.53
Dy  0.0000  0.0000  0.2063  8 Tm 3.51-3.52, 4 Dy 3.53
Dy  0.0000  0.0000  0.4122  4 Cd 3.26, 4 Tm 3.51, 4 Dy 3.53
Dy  0.0000  0.0000  0.5878  4 Cd 3.26, 4 Tm 3.51, 4 Dy 3.53
Dy  0.0000  0.0000  0.7937  8 Tm 3.51-3.52, 4 Dy 3.53
Tm  0.5000  0.5000  0.1030  8 Dy 3.51-3.52, 4 Tm 3.53
Tm  0.5000  0.5000  0.3092  8 Dy 3.51, 4 Tm 3.53
Tm  0.5000  0.5000  0.6908  8 Dy 3.51, 4 Tm 3.53
Tm  0.5000  0.5000  0.8970  8 Dy 3.51-3.52, 4 Tm 3.53
Cd  0.5000  0.5000  0.5000  8 Dy 3.26, 4 Cd 3.53

***

Bottom line: 2), by a margin of 274 meV per atom.

***

1) DyTmCd3: optimized geometry, PBE.

Properties
Total magnetization = 0.0 μB/cell
Symmetry = I-4m2
V = 352.4 Å³/cell
Density = 6.3 g/cm³

Lattice parameters (Å, degrees): 11.6001 11.6001 11.6001 151.60 151.60 40.60
Closest atoms and distances in Å follow each position.
Atoms (fractional coordinates):
Dy  0.0000  0.0000  0.0000  8 Cd 2.94-3.09
Dy  0.7500  0.2500  0.5000  4 Cd 3.05
Tm  0.4172  0.4172  0.0000  6 Cd 3.04-3.33
Tm  0.5828  0.5828  0.0000  6 Cd 3.04-3.33
Cd  0.0331  0.5331  0.5000  2 Dy 2.94, 2 Tm 3.04
Cd  0.3732  0.1263  0.2469  2 Cd 2.81-2.88, 2 Dy 3.05-3.09
Cd  0.4669  0.9669  0.5000  2 Dy 2.94, 2 Tm 3.04
Cd  0.8737  0.1207  0.2469  2 Cd 2.81-2.88, 2 Dy 3.05-3.09
Cd  0.8737  0.6268  0.7531  2 Cd 2.81-2.88, 2 Dy 3.05-3.09
Cd  0.8793  0.1263  0.7531  2 Cd 2.81-2.88, 2 Dy 3.05-3.09

***

2) DyTmCd3: optimized geometry, PBE.

Properties
Total magnetization = 0.0 μB/cell
Symmetry = Cmcm
V = 250.0 Å³/cell
Density = 8.9 g/cm³

Lattice parameters (Å, degrees): 14.7375 14.7375 4.9526 90.00 90.00 166.56
Closest atoms and distances in Å follow each position.
Atoms (fractional coordinates):
Dy  0.0752  0.9248  0.7500  12 Cd 3.31-3.42, 2 Dy 3.45
Dy  0.9248  0.0752  0.2500  12 Cd 3.31-3.42, 2 Dy 3.45
Tm  0.2159  0.7841  0.2500  7 Cd 3.16-3.25, 2 Tm 3.45
Tm  0.7841  0.2159  0.7500  7 Cd 3.16-3.25, 2 Tm 3.45
Cd  0.3239  0.6761  0.2500  2 Cd 2.94, 5 Tm 3.16-3.23
Cd  0.3782  0.6218  0.7500  3 Cd 2.87-2.94
Cd  0.4761  0.5239  0.7500  3 Cd 2.84-2.87
Cd  0.5239  0.4761  0.2500  3 Cd 2.84-2.87
Cd  0.6218  0.3782  0.2500  3 Cd 2.87-2.94
Cd  0.6761  0.3239  0.7500  2 Cd 2.94, 5 Tm 3.16-3.23

***

Bottom line: 2), by a margin of 589 meV per atom.